# 1
Entry from Alexandria: a relaxed structure of Y12Er5Tm (PBE-GGA).

## Properties
E: -5.81 eV/atom

Structure (CIF):
```
data_Y12Er5Tm
_chemical_formula_sum 'Y24 Er10 Tm2'
_symmetry_space_group_name_H-M 'C 1 2/m 1'
_symmetry_Int_Tables_number 12
_symmetry_space_group_name_Hall '-C 2y'
_cell_length_a 6.169
_cell_length_b 10.686
_cell_length_c 17.387
_cell_angle_alpha 90.00
_cell_angle_beta 96.79
_cell_angle_gamma 90.00
loop_
_atom_site_label
_atom_site_type_symbol
_atom_site_fract_x
_atom_site_fract_y
_atom_site_fract_z
Y1 Y 0.111 0.000 0.333
Y2 Y 0.111 0.333 0.333
Y3 Y 0.221 0.167 0.165
Y4 Y 0.222 0.500 0.165
Er1 Er 0.000 0.167 0.500
Er2 Er 0.000 0.333 0.000
Er3 Er 0.000 0.500 0.500
Tm1 Tm 0.000 0.000 0.000
```

---

# 2
Entry from Alexandria: a relaxed structure of Y8Er5Tm (PBE-GGA).

## Properties
E: -5.39 eV/atom

Structure (CIF):
```
data_Y8Er5Tm
_chemical_formula_sum 'Y16 Er10 Tm2'
_symmetry_space_group_name_H-M 'I -4'
_symmetry_Int_Tables_number 82
_symmetry_space_group_name_Hall 'I -4'
_cell_length_a 9.548
_cell_length_b 9.548
_cell_length_c 10.055
_cell_angle_alpha 90.00
_cell_angle_beta 90.00
_cell_angle_gamma 90.00
loop_
_atom_site_label
_atom_site_type_symbol
_atom_site_fract_x
_atom_site_fract_y
_atom_site_fract_z
Y1 Y 0.071 0.177 0.344
Y2 Y 0.087 0.326 0.003
Er1 Er 0.000 0.500 0.250
Er2 Er 0.109 0.289 0.675
Tm1 Tm 0.000 0.000 0.000
```

---

# 3
Entry from Alexandria: a relaxed structure of Y15Er4Tm (PBE-GGA).

## Properties
E: -5.96 eV/atom

Structure (CIF):
```
data_Y15Er4Tm
_chemical_formula_sum 'Y15 Er4 Tm1'
_symmetry_space_group_name_H-M 'P 4/m m m'
_symmetry_Int_Tables_number 123
_symmetry_space_group_name_Hall '-P 4 2'
_cell_length_a 5.026
_cell_length_b 5.026
_cell_length_c 25.138
_cell_angle_alpha 90.00
_cell_angle_beta 90.00
_cell_angle_gamma 90.00
loop_
_atom_site_label
_atom_site_type_symbol
_atom_site_fract_x
_atom_site_fract_y
_atom_site_fract_z
Y1 Y 0.000 0.000 0.000
Y2 Y 0.000 0.000 0.200
Y3 Y 0.000 0.000 0.400
Y4 Y 0.000 0.500 0.100
Y5 Y 0.000 0.500 0.300
Y6 Y 0.000 0.500 0.500
Er1 Er 0.500 0.500 0.200
Er2 Er 0.500 0.500 0.400
Tm1 Tm 0.500 0.500 0.000
```

---

# 4
Entry from Alexandria: a relaxed structure of Y3Er4Tm2 (PBE-GGA).

## Properties
E: -5.04 eV/atom
ΔE to the lowest computed polymorph: 34 meV/atom

Structure (CIF):
```
data_Y3Er4Tm2
_chemical_formula_sum 'Y6 Er8 Tm4'
_symmetry_space_group_name_H-M 'P -1'
_symmetry_Int_Tables_number 2
_symmetry_space_group_name_Hall '-P 1'
_cell_length_a 6.398
_cell_length_b 9.677
_cell_length_c 9.684
_cell_angle_alpha 83.41
_cell_angle_beta 78.78
_cell_angle_gamma 78.72
loop_
_atom_site_label
_atom_site_type_symbol
_atom_site_fract_x
_atom_site_fract_y
_atom_site_fract_z
Y1 Y 0.047 0.047 0.162
Y2 Y 0.250 0.470 0.530
Y3 Y 0.453 0.838 0.953
Er1 Er 0.000 0.292 0.876
Er2 Er 0.113 0.139 0.508
Er3 Er 0.386 0.492 0.862
Er4 Er 0.499 0.876 0.293
Tm1 Tm 0.125 0.369 0.207
Tm2 Tm 0.376 0.793 0.631
```

---

# 5
Entry from Alexandria: a relaxed structure of Y7Er12Tm (PBE-GGA).

## Properties
E: -4.99 eV/atom
ΔE to the lowest computed polymorph: 0 meV/atom

Structure (CIF):
```
data_Y7Er12Tm
_chemical_formula_sum 'Y21 Er36 Tm3'
_symmetry_space_group_name_H-M 'R -3'
_symmetry_Int_Tables_number 148
_symmetry_space_group_name_Hall '-R 3'
_cell_length_a 11.9228
_cell_length_b 11.9228
_cell_length_c 15.7814
_cell_angle_alpha 90.00
_cell_angle_beta 90.00
_cell_angle_gamma 120.00
loop_
_atom_site_label
_atom_site_type_symbol
_atom_site_fract_x
_atom_site_fract_y
_atom_site_fract_z
Y1 Y 0.0000 0.0000 0.0000
Y2 Y 0.0536 0.1896 0.2931
Er1 Er 0.0228 0.4506 0.2193
Er2 Er 0.0525 0.5864 0.5830
Tm1 Tm 0.0000 0.0000 0.5000
```

---

# 6
Entry from Alexandria: a relaxed structure of Y2Er7Tm (PBE-GGA).

## Properties
E: -4.81 eV/atom
ΔE to the lowest computed polymorph: 0 meV/atom

Structure (CIF):
```
data_Y2Er7Tm
_chemical_formula_sum 'Y4 Er14 Tm2'
_symmetry_space_group_name_H-M 'C 1 2/m 1'
_symmetry_Int_Tables_number 12
_symmetry_space_group_name_Hall '-C 2y'
_cell_length_a 6.077
_cell_length_b 29.445
_cell_length_c 3.472
_cell_angle_alpha 90.00
_cell_angle_beta 90.37
_cell_angle_gamma 90.00
loop_
_atom_site_label
_atom_site_type_symbol
_atom_site_fract_x
_atom_site_fract_y
_atom_site_fract_z
Y1 Y 0.000 0.208 0.000
Er1 Er 0.000 0.310 0.500
Er2 Er 0.000 0.500 0.000
Er3 Er 0.245 0.099 0.770
Tm1 Tm 0.000 0.000 0.500
```

---

# 7
Entry from Alexandria: a relaxed structure of Y4Er9Tm11 (PBE-GGA).

## Properties
E: -4.77 eV/atom

Structure (CIF):
```
data_Y4Er9Tm11
_chemical_formula_sum 'Y8 Er18 Tm22'
_symmetry_space_group_name_H-M 'C m m m'
_symmetry_Int_Tables_number 65
_symmetry_space_group_name_Hall '-C 2 2'
_cell_length_a 20.279
_cell_length_b 20.846
_cell_length_c 3.487
_cell_angle_alpha 90.00
_cell_angle_beta 90.00
_cell_angle_gamma 90.00
loop_
_atom_site_label
_atom_site_type_symbol
_atom_site_fract_x
_atom_site_fract_y
_atom_site_fract_z
Y1 Y 0.138 0.084 0.000
Er1 Er 0.000 0.000 0.000
Er2 Er 0.120 0.415 0.000
Er3 Er 0.123 0.246 0.000
Tm1 Tm 0.000 0.156 0.500
Tm2 Tm 0.000 0.329 0.500
Tm3 Tm 0.000 0.500 0.500
Tm4 Tm 0.239 0.500 0.500
Tm5 Tm 0.245 0.331 0.500
```

---

# 8
Entry from Alexandria: a relaxed structure of Y2Er3Tm2 (PBE-GGA).

## Properties
E: -5.05 eV/atom
ΔE to the lowest computed polymorph: 0 meV/atom

Structure (CIF):
```
data_Y2Er3Tm2
_chemical_formula_sum 'Y4 Er6 Tm4'
_symmetry_space_group_name_H-M 'C 1 2/m 1'
_symmetry_Int_Tables_number 12
_symmetry_space_group_name_Hall '-C 2y'
_cell_length_a 11.124
_cell_length_b 4.977
_cell_length_c 7.875
_cell_angle_alpha 90.00
_cell_angle_beta 98.18
_cell_angle_gamma 90.00
loop_
_atom_site_label
_atom_site_type_symbol
_atom_site_fract_x
_atom_site_fract_y
_atom_site_fract_z
Y1 Y 0.214 0.000 0.144
Er1 Er 0.000 0.500 0.000
Er2 Er 0.142 0.500 0.428
Tm1 Tm 0.072 0.000 0.712
```

---

# 9
Entry from Alexandria: a relaxed structure of YErTm4 (PBE-GGA).

## Properties
E: -4.56 eV/atom
ΔE to the lowest computed polymorph: 228 meV/atom

Structure (CIF):
```
data_YErTm4
_chemical_formula_sum 'Y4 Er4 Tm16'
_symmetry_space_group_name_H-M 'F -4 3 m'
_symmetry_Int_Tables_number 216
_symmetry_space_group_name_Hall 'F -4 2 3'
_cell_length_a 9.172
_cell_length_b 9.172
_cell_length_c 9.172
_cell_angle_alpha 90.00
_cell_angle_beta 90.00
_cell_angle_gamma 90.00
loop_
_atom_site_label
_atom_site_type_symbol
_atom_site_fract_x
_atom_site_fract_y
_atom_site_fract_z
Y1 Y 0.000 0.000 0.000
Er1 Er 0.250 0.250 0.750
Tm1 Tm 0.125 0.125 0.375
```

---

# 10
Entry from Alexandria: a relaxed structure of Y6Er4Tm (PBE-GGA).

## Properties
E: -5.56 eV/atom

Structure (CIF):
```
data_Y6Er4Tm
_chemical_formula_sum 'Y6 Er4 Tm1'
_symmetry_space_group_name_H-M 'P 1'
_symmetry_Int_Tables_number 1
_symmetry_space_group_name_Hall 'P 1'
_cell_length_a 6.131
_cell_length_b 6.131
_cell_length_c 9.372
_cell_angle_alpha 96.28
_cell_angle_beta 90.04
_cell_angle_gamma 99.63
loop_
_atom_site_label
_atom_site_type_symbol
_atom_site_fract_x
_atom_site_fract_y
_atom_site_fract_z
Y1 Y 0.000 0.000 0.000
Y2 Y 0.088 0.543 0.183
Y3 Y 0.270 0.638 0.548
Y4 Y 0.454 0.725 0.909
Y5 Y 0.635 0.819 0.274
Y6 Y 0.724 0.363 0.457
Er1 Er 0.180 0.091 0.366
Er2 Er 0.362 0.181 0.729
Er3 Er 0.543 0.272 0.092
Er4 Er 0.906 0.452 0.819
Tm1 Tm 0.818 0.910 0.638
```

---

# 11
Entry from Alexandria: a relaxed structure of Y5Er2Tm12 (PBE-GGA).

## Properties
E: -4.88 eV/atom
ΔE to the lowest computed polymorph: 0 meV/atom

Structure (CIF):
```
data_Y5Er2Tm12
_chemical_formula_sum 'Y10 Er4 Tm24'
_symmetry_space_group_name_H-M 'C 1 2/m 1'
_symmetry_Int_Tables_number 12
_symmetry_space_group_name_Hall '-C 2y'
_cell_length_a 15.729
_cell_length_b 9.056
_cell_length_c 8.415
_cell_angle_alpha 90.00
_cell_angle_beta 91.18
_cell_angle_gamma 90.00
loop_
_atom_site_label
_atom_site_type_symbol
_atom_site_fract_x
_atom_site_fract_y
_atom_site_fract_z
Y1 Y 0.000 0.000 0.000
Y2 Y 0.199 0.500 0.507
Y3 Y 0.235 0.000 0.075
Er1 Er 0.000 0.320 0.500
Tm1 Tm 0.056 0.500 0.834
Tm2 Tm 0.093 0.000 0.388
Tm3 Tm 0.126 0.306 0.161
Tm4 Tm 0.155 0.183 0.746
```

---

# 12
Entry from Alexandria: a relaxed structure of Y12ErTm6 (PBE-GGA).

## Properties
E: -5.58 eV/atom
ΔE to the lowest computed polymorph: 7 meV/atom

Structure (CIF):
```
data_Y12ErTm6
_chemical_formula_sum 'Y36 Er3 Tm18'
_symmetry_space_group_name_H-M 'R -3'
_symmetry_Int_Tables_number 148
_symmetry_space_group_name_Hall '-R 3'
_cell_length_a 11.8014
_cell_length_b 11.8014
_cell_length_c 15.3001
_cell_angle_alpha 90.00
_cell_angle_beta 90.00
_cell_angle_gamma 120.00
loop_
_atom_site_label
_atom_site_type_symbol
_atom_site_fract_x
_atom_site_fract_y
_atom_site_fract_z
Y1 Y 0.0100 0.1798 0.1903
Y2 Y 0.0425 0.1924 0.4149
Er1 Er 0.0000 0.0000 0.0000
Tm1 Tm 0.0137 0.5877 0.6816
```

---

# 13
Entry from Alexandria: a relaxed structure of Y4Er3Tm (PBE-GGA).

## Properties
E: -5.29 eV/atom
ΔE to the lowest computed polymorph: 208 meV/atom

Structure (CIF):
```
data_Y4Er3Tm
_chemical_formula_sum 'Y8 Er6 Tm2'
_symmetry_space_group_name_H-M 'C m m m'
_symmetry_Int_Tables_number 65
_symmetry_space_group_name_Hall '-C 2 2'
_cell_length_a 5.568
_cell_length_b 26.081
_cell_length_c 3.560
_cell_angle_alpha 90.00
_cell_angle_beta 90.00
_cell_angle_gamma 90.00
loop_
_atom_site_label
_atom_site_type_symbol
_atom_site_fract_x
_atom_site_fract_y
_atom_site_fract_z
Y1 Y 0.000 0.102 0.000
Y2 Y 0.000 0.222 0.000
Er1 Er 0.000 0.345 0.500
Er2 Er 0.000 0.500 0.000
Tm1 Tm 0.000 0.000 0.500
```

---

# 14
Entry from Alexandria: a relaxed structure of Y12Er7Tm (PBE-GGA).

## Properties
E: -5.37 eV/atom
ΔE to the lowest computed polymorph: 43 meV/atom

Structure (CIF):
```
data_Y12Er7Tm
_chemical_formula_sum 'Y36 Er21 Tm3'
_symmetry_space_group_name_H-M 'R -3'
_symmetry_Int_Tables_number 148
_symmetry_space_group_name_Hall '-R 3'
_cell_length_a 18.5927
_cell_length_b 18.5927
_cell_length_c 6.6619
_cell_angle_alpha 90.00
_cell_angle_beta 90.00
_cell_angle_gamma 120.00
loop_
_atom_site_label
_atom_site_type_symbol
_atom_site_fract_x
_atom_site_fract_y
_atom_site_fract_z
Y1 Y 0.9997 0.2089 0.2049
Y2 Y 0.0077 0.4695 0.2379
Er1 Er 0.0000 0.0000 0.0000
Er2 Er 0.0104 0.8550 0.2924
Tm1 Tm 0.0000 0.0000 0.5000
```

---

# 15
Entry from Alexandria: a relaxed structure of YErTm2 (PBE-GGA).

## Properties
E: -4.96 eV/atom
ΔE to the lowest computed polymorph: 26 meV/atom

Structure (CIF):
```
data_YErTm2
_chemical_formula_sum 'Y2 Er2 Tm4'
_symmetry_space_group_name_H-M 'P -1'
_symmetry_Int_Tables_number 2
_symmetry_space_group_name_Hall '-P 1'
_cell_length_a 3.510
_cell_length_b 6.083
_cell_length_c 12.179
_cell_angle_alpha 80.49
_cell_angle_beta 89.97
_cell_angle_gamma 73.32
loop_
_atom_site_label
_atom_site_type_symbol
_atom_site_fract_x
_atom_site_fract_y
_atom_site_fract_z
Y1 Y 0.125 0.250 0.188
Er1 Er 0.124 0.253 0.686
Tm1 Tm 0.374 0.751 0.063
Tm2 Tm 0.375 0.751 0.561
```

---

# 16
Entry from Alexandria: a relaxed structure of Y7Er3Tm2 (PBE-GGA).

## Properties
E: -5.56 eV/atom
ΔE to the lowest computed polymorph: 21 meV/atom

Structure (CIF):
```
data_Y7Er3Tm2
_chemical_formula_sum 'Y7 Er3 Tm2'
_symmetry_space_group_name_H-M 'P 1 2/m 1'
_symmetry_Int_Tables_number 10
_symmetry_space_group_name_Hall '-P 2y'
_cell_length_a 5.762
_cell_length_b 3.564
_cell_length_c 18.583
_cell_angle_alpha 90.00
_cell_angle_beta 93.66
_cell_angle_gamma 90.00
loop_
_atom_site_label
_atom_site_type_symbol
_atom_site_fract_x
_atom_site_fract_y
_atom_site_fract_z
Y1 Y 0.000 0.000 0.000
Y2 Y 0.184 0.500 0.182
Y3 Y 0.258 0.500 0.536
Y4 Y 0.320 0.000 0.856
Er1 Er 0.219 0.000 0.367
Er2 Er 0.500 0.500 0.000
Tm1 Tm 0.294 0.500 0.705
```

---

# 17
Entry from Alexandria: a relaxed structure of Y3Er7Tm2 (PBE-GGA).

## Properties
E: -4.92 eV/atom
ΔE to the lowest computed polymorph: 0 meV/atom

Structure (CIF):
```
data_Y3Er7Tm2
_chemical_formula_sum 'Y6 Er14 Tm4'
_symmetry_space_group_name_H-M 'C m m m'
_symmetry_Int_Tables_number 65
_symmetry_space_group_name_Hall '-C 2 2'
_cell_length_a 5.632
_cell_length_b 37.304
_cell_length_c 3.570
_cell_angle_alpha 90.00
_cell_angle_beta 90.00
_cell_angle_gamma 90.00
loop_
_atom_site_label
_atom_site_type_symbol
_atom_site_fract_x
_atom_site_fract_y
_atom_site_fract_z
Y1 Y 0.000 0.000 0.000
Y2 Y 0.000 0.185 0.000
Er1 Er 0.000 0.092 0.500
Er2 Er 0.000 0.269 0.500
Er3 Er 0.000 0.428 0.000
Er4 Er 0.000 0.500 0.500
Tm1 Tm 0.000 0.353 0.500
```

---

# 18
Entry from Alexandria: a relaxed structure of Y5Er3Tm4 (PBE-GGA).

## Properties
E: -5.30 eV/atom
ΔE to the lowest computed polymorph: 0 meV/atom

Structure (CIF):
```
data_Y5Er3Tm4
_chemical_formula_sum 'Y5 Er3 Tm4'
_symmetry_space_group_name_H-M 'P -1'
_symmetry_Int_Tables_number 2
_symmetry_space_group_name_Hall '-P 1'
_cell_length_a 6.106
_cell_length_b 7.063
_cell_length_c 8.635
_cell_angle_alpha 89.96
_cell_angle_beta 89.93
_cell_angle_gamma 89.95
loop_
_atom_site_label
_atom_site_type_symbol
_atom_site_fract_x
_atom_site_fract_y
_atom_site_fract_z
Y1 Y 0.000 0.000 0.000
Y2 Y 0.331 0.500 0.665
Y3 Y 0.500 0.250 0.000
Er1 Er 0.000 0.500 0.000
Er2 Er 0.166 0.751 0.334
Tm1 Tm 0.166 0.249 0.334
Tm2 Tm 0.334 0.000 0.664
```